# 1
## CaCd2Ag (GGA-PBEsol)

Data for a relaxed structure of CaCd2Ag.

POSCAR file:
```
CaCd2Ag
1.0
-0.6295 -3.1816 3.2913
-0.9302 -3.1513 -3.2241
4.6830 2.2014 -0.2200
Cd Ca Ag
2 1 1
Direct
0.2495 0.2497 0.4990
0.7505 0.7503 0.5010
0.5000 0.0000 0.0000
0.0000 0.5000 0.0000
```

Calculated values
- Energy of formation: -5.183 kcal/mol of atoms
- SG: No. 71
- Total magnetic moment: 0.0000 μB/atom

# 2
## CoTcPt2 (GGA-PBEsol)

Data for a relaxed structure of CoTcPt2.

POSCAR file:
```
CoTcPt2
1.0
-1.9462 -1.5705 -2.8086
-1.9077 -2.0801 2.4851
-0.6981 4.5714 0.4452
Pt Tc Co
2 1 1
Direct
0.7500 0.2500 0.5000
0.0000 0.0000 0.0000
0.5000 0.5000 0.0000
0.2500 0.7500 0.5000
```

Calculated values
- Offset from the most stable computed form: 52 meV/atom
- Energy of formation: -1.231 kcal/mol of atoms
- SG: No. 119
- Total magnetic moment: 0.1759 μB/atom

# 3
## CrCdIr2 (GGA-PBEsol)

Data for a relaxed structure of CrCdIr2.

POSCAR file:
```
CrCdIr2
1.0
-0.6497 -2.4863 -1.0420
4.2819 -1.3496 0.5507
-2.8675 0.3634 4.6106
Cr Ir Cd
1 2 1
Direct
0.2753 0.7753 0.5507
0.7306 0.2306 0.4611
0.9853 0.9853 0.9705
0.5088 0.5088 0.0176
```

Calculated values
- Energy of formation: 8.092 kcal/mol of atoms
- SG: No. 44
- Total magnetic moment: 0.0028 μB/atom

# 4
## NaYPO2 (GGA-PBEsol)

Data for a relaxed structure of NaYPO2.

POSCAR file:
```
NaYPO2
1.0
4.3501 0.0000 0.0000
0.0000 4.3501 0.0000
0.0000 0.0000 5.5633
Y Na O P
1 1 2 1
Direct
0.0000 0.0000 0.0000
0.5000 0.5000 0.5000
0.0000 0.5000 0.0000
0.5000 0.0000 0.0000
0.0000 0.0000 0.5000
```

Calculated values
- Offset from the most stable computed form: 0 meV/atom
- SG: No. 123
- Total magnetic moment: 0.5868 μB/atom

# 5
## Ni2SbRh (GGA-PBEsol)

Data for a relaxed structure of Ni2SbRh.

POSCAR file:
```
Ni2SbRh
1.0
3.1970 0.0000 0.0000
0.0000 3.1970 0.0000
0.0000 0.0000 5.3385
Sb Rh Ni
1 1 2
Direct
0.5000 0.5000 0.7597
0.0000 0.0000 0.4930
0.0000 0.0000 0.0200
0.5000 0.5000 0.2273
```

Calculated values
- SG: No. 99
- Total magnetic moment: 0.0007 μB/atom

# 6
## LaNiSn (GGA-PBEsol)

Data for a relaxed structure of LaNiSn.

POSCAR file:
```
LaNiSn
1.0
-3.6114 -0.9892 -2.8120
3.7355 -5.2382 -2.9546
-2.7668 -4.9619 5.2988
Sn La Ni
4 4 4
Direct
0.7500 0.6027 0.6754
0.7500 0.8973 0.1754
0.2500 0.3973 0.3246
0.2500 0.1027 0.8246
0.2500 0.8205 0.4653
0.7500 0.1795 0.5347
0.2500 0.6795 0.9653
0.7500 0.3205 0.0347
0.7500 0.5760 0.3302
0.2500 0.0760 0.1698
0.2500 0.4240 0.6698
0.7500 0.9240 0.8302
```

Calculated values
- Energy of formation: -15.192 kcal/mol of atoms
- SG: No. 62
- Total magnetic moment: 0.0000 μB/atom

How do the records compare in uncorrected energy? In the order shown, they have -2.18 -8.29 -7.42 -5.88 -6.28 -5.91 eV/atom.